Record 1
Dy3In5O12 after structural relaxation, computed with PBE-GGA.

Summary:
Space-group type: No. 230

Structure (extended XYZ):
```
80
Lattice="-6.931 -8.692 -2.394 10.304 -2.060 -4.346 0.814 1.203 11.279" Properties=species:S:1:pos:R:3 pbc="T T T"
O 3.848 -5.240 -3.017
O 2.997 -2.319 6.845
Dy 5.638 -4.053 2.891
Dy 8.761 -1.987 4.357
O 4.606 -0.238 7.434
O 6.317 -6.275 2.027
O 0.255 -0.814 7.309
O 3.696 -9.013 -5.442
O 0.340 -4.309 7.555
In 5.559 -0.429 3.466
In 0.987 -7.991 3.647
In 4.888 -6.934 -2.480
O 1.374 -0.828 1.497
In 0.407 0.601 5.639
O 0.511 -6.080 3.046
O 1.191 -7.230 -2.307
In 3.201 -1.558 0.890
O 9.106 -2.169 -0.023
O -1.426 -5.019 -0.749
O -2.610 -8.723 -0.695
O 7.754 -3.094 6.333
O -4.741 -7.053 7.231
O 7.941 -4.218 3.796
O 2.814 -8.721 3.041
In 0.000 0.000 0.000
O -0.430 -7.301 0.286
In 1.687 -5.376 -3.370
O 5.497 -3.173 -2.494
O 2.781 -5.920 0.528
In 0.079 -3.624 -0.575
In 4.109 -5.925 5.112
O 3.889 -5.747 3.073
O 5.220 -6.370 -0.528
In 1.548 -7.355 -0.283
In -0.700 -2.615 7.018
Dy 1.766 -9.000 -3.945
O 6.138 -3.955 0.503
O -2.128 -3.274 2.511
Dy 4.327 -7.570 1.450
In 5.152 -1.030 -2.173
O 5.614 -4.530 5.286
O 2.649 -8.971 0.362
O 1.539 -0.578 4.176
In -3.197 -5.724 7.530
O 6.913 -1.978 2.703
O 1.764 -3.937 -1.716
O -4.918 -7.380 4.561
In 7.167 -2.180 0.670
O -1.949 -5.594 4.035
O -0.418 -9.311 -2.896
Dy -1.450 -5.496 1.646
Dy 5.420 -2.408 6.554
In 2.641 -2.194 4.821
O 3.677 -3.469 1.491
Dy -1.232 -7.141 -2.016
O 0.493 -0.536 9.980
O -1.309 -6.376 7.031
O 1.407 -3.629 4.010
O -3.753 -5.331 0.742
Dy 2.422 -0.549 8.483
In 7.386 -3.825 -2.992
O 0.754 -7.644 5.663
In -3.058 -3.745 4.442
O 4.619 -2.248 4.252
In -2.979 -7.369 3.867
In 2.094 -4.774 2.269
Dy -0.139 -1.979 3.088
Dy 0.143 -5.303 5.332
O -1.032 -3.179 5.065
O 0.299 -3.802 1.465
Dy -4.573 -7.562 0.181
O 8.930 -2.496 -2.693
O -3.565 -6.455 -1.795
O 3.934 -8.735 -2.771
O 2.424 -5.612 6.254
Dy 4.045 -4.246 -0.795
O -2.725 -7.571 1.834
O 6.799 -0.826 5.232
O 3.434 -1.905 -1.126
In -3.465 -4.346 -1.197
```

---

Record 2
Dy3InO6 after structural relaxation, computed with PBE-GGA.

Summary:
Space-group type: No. 148
Energy relative to the lowest polymorph listed for this composition (eV per atom): 0.000

Structure (extended XYZ):
```
20
Lattice="-2.069 -0.028 6.342 3.133 -5.841 0.759 5.509 3.417 1.575" Properties=species:S:1:pos:R:3 pbc="T T T"
O 3.884 -3.170 5.146
Dy 0.445 0.454 3.996
Dy 2.840 -2.886 7.177
O 2.587 -5.075 2.782
O 5.386 -0.727 4.699
O 6.511 -3.083 2.369
O 0.734 -3.730 6.562
In 0.000 0.000 0.000
Dy 3.733 0.435 1.500
O 0.061 0.631 6.308
In 3.286 -1.226 4.338
Dy 1.601 -3.044 2.132
O 3.985 2.624 5.895
O 3.076 -0.708 6.454
Dy 6.128 -2.905 4.680
O 2.688 0.718 3.530
O 3.497 -1.743 2.222
O 5.838 1.278 2.114
Dy 4.972 0.592 6.544
O 1.186 -1.724 3.978
```

---

Record 3
DyInO after structural relaxation, computed with PBE-GGA.

Summary:
Space-group type: No. 166

Structure (extended XYZ):
```
6
Lattice="3.746 0.000 0.000 1.873 3.244 0.000 1.873 1.081 10.397" Properties=species:S:1:pos:R:3 pbc="T T T"
Dy 3.746 2.163 1.457
In 1.873 1.081 6.292
Dy 3.746 2.163 8.940
O 5.619 3.244 9.512
O 1.873 1.081 0.886
In 5.619 3.244 4.106
```

---

Record 4
DyIn2OsO8 after structural relaxation, computed with PBE-GGA.

Summary:
Space-group type: No. 10

Structure (extended XYZ):
```
12
Lattice="-2.602 -0.500 -4.183 2.237 -4.334 -0.799 -4.792 -3.092 3.350" Properties=species:S:1:pos:R:3 pbc="T T T"
O -4.897 -4.434 1.962
Os 0.000 0.000 0.000
In -1.386 -3.193 -1.649
In -3.771 -4.732 0.018
Dy -2.396 -1.546 1.675
O 0.337 -4.267 -0.719
O -2.643 -4.889 -1.763
O -5.493 -3.658 -0.912
O -0.259 -3.491 -3.593
O -2.710 -1.862 -2.858
O -2.446 -6.063 1.227
O -2.514 -3.036 0.132
```

---

Record 5
DyPaInO6 after structural relaxation, computed with PBE-GGA.

Summary:
Space-group type: No. 149

Structure (extended XYZ):
```
9
Lattice="4.796 0.000 0.000 0.000 5.629 0.000 0.000 -2.815 4.875" Properties=species:S:1:pos:R:3 pbc="T T T"
O 3.571 -0.948 4.798
O 3.571 -0.866 1.655
Dy 2.398 2.815 1.625
In 2.398 0.000 0.000
O 1.225 -1.815 3.297
O 3.571 1.815 3.297
O 1.225 0.948 4.798
Pa 0.000 0.000 3.250
O 1.225 0.866 1.655
```

---

Record 6
DyPaIn2O8 after structural relaxation, computed with PBE-GGA.

Summary:
Space-group type: No. 119

Structure (extended XYZ):
```
12
Lattice="-5.828 0.853 -1.896 2.672 -3.808 -4.080 0.127 -2.433 5.688" Properties=species:S:1:pos:R:3 pbc="T T T"
O -3.757 -3.356 -0.536
O -1.875 -0.605 0.916
O -0.384 -1.968 -1.398
O -4.841 -0.937 -1.159
O -3.299 -2.407 -3.599
O -1.273 -2.135 3.707
Pa 0.000 0.000 0.000
Dy 0.610 -3.859 -0.690
In -3.639 -1.529 0.402
In -1.578 -1.478 -2.988
O -4.084 -1.217 2.385
O -1.102 -4.266 0.712
```

---

Record 7
Pm2DyInO after structural relaxation, computed with PBE-GGA.

Summary:
Space-group type: No. 123

Structure (extended XYZ):
```
5
Lattice="-3.042 -2.185 -2.937 2.951 -3.981 -0.094 -2.414 -1.882 3.899" Properties=species:S:1:pos:R:3 pbc="T T T"
Pm -1.207 -0.941 1.950
Dy -1.521 -1.093 -1.469
In -1.252 -4.024 0.434
Pm 1.476 -1.991 -0.047
O 0.000 0.000 0.000
```

---

Record 8
PmDy2InO after structural relaxation, computed with PBE-GGA.

Summary:
Space-group type: No. 123

Structure (extended XYZ):
```
5
Lattice="-2.529 -3.961 -1.562 3.463 -2.857 1.639 -2.212 -0.256 4.229" Properties=species:S:1:pos:R:3 pbc="T T T"
Dy 1.732 -1.429 0.819
Dy -1.106 -0.128 2.115
In -0.639 -3.537 2.153
O 0.000 0.000 0.000
Pm -1.264 -1.981 -0.781
```

---

Record 9
Pr12DyIn4O3 after structural relaxation, computed with PBE-GGA.

Summary:
Space-group type: No. 229

Structure (extended XYZ):
```
20
Lattice="9.035 0.000 0.000 -3.012 8.518 0.000 -3.012 -4.259 7.377" Properties=species:S:1:pos:R:3 pbc="T T T"
Pr 1.506 -1.065 5.533
Pr 4.517 0.000 3.688
O 3.012 4.259 0.000
Pr 4.367 6.177 0.000
O 3.012 -2.129 3.688
Pr -4.367 3.088 5.349
Pr 1.656 -1.171 2.028
O -3.012 2.129 3.688
In -1.506 4.259 0.000
In 1.506 2.129 3.688
Pr 1.656 2.341 0.000
Pr 1.506 5.324 1.844
Pr -1.656 1.171 2.028
Pr 4.517 3.194 1.844
Pr -1.506 1.065 5.533
In 4.517 0.000 0.000
Pr -1.506 4.259 3.688
Pr 4.367 -3.088 5.349
Dy 0.000 0.000 0.000
In -1.506 -2.129 3.688
```

---

Record 10
PrDy2InO after structural relaxation, computed with PBE-GGA.

Summary:
Space-group type: No. 123

Structure (extended XYZ):
```
5
Lattice="-2.463 0.617 4.351 0.508 -4.667 0.950 4.147 0.903 2.220" Properties=species:S:1:pos:R:3 pbc="T T T"
Dy 2.073 0.452 1.110
Dy 0.254 -2.333 0.475
In 1.096 -1.573 3.760
Pr -1.232 0.309 2.175
O 0.000 0.000 0.000
```

---

Record 11
Pr2DyInO after structural relaxation, computed with PBE-GGA.

Summary:
Space-group type: No. 123

Structure (extended XYZ):
```
5
Lattice="-2.772 0.489 3.823 2.976 -3.192 2.566 2.835 3.895 1.557" Properties=species:S:1:pos:R:3 pbc="T T T"
Dy -1.386 0.245 1.912
Pr 1.488 -1.596 1.283
In 1.519 0.596 3.973
Pr 1.417 1.947 0.779
O 0.000 0.000 0.000
```

---

Record 12
DyInPtO6 after structural relaxation, computed with PBE-GGA.

Summary:
Space-group type: No. 102

Structure (extended XYZ):
```
18
Lattice="4.922 0.000 0.000 0.000 4.922 0.000 0.000 0.000 10.009" Properties=species:S:1:pos:R:3 pbc="T T T"
Dy 0.000 0.000 6.642
O 3.840 1.082 8.356
O 0.943 3.980 4.844
O 4.022 0.901 1.826
O 1.082 3.840 8.356
O 3.980 0.943 4.844
O 3.362 3.362 6.831
O 1.561 1.561 6.831
O 3.404 3.404 9.848
O 3.544 3.544 3.352
In 0.000 0.000 0.002
Dy 2.461 2.461 1.638
O 0.901 4.022 1.826
O 1.379 1.379 3.352
Pt 2.461 2.461 8.345
In 2.461 2.461 5.007
Pt 0.000 0.000 3.340
O 1.519 1.519 9.848
```

---

Number 1: formation energy from raw total energies -2234 meV/atom, density 7.36 Mg/m³, total DFT energy (no corrections) -6.5834 eV per atom. Number 2: formation energy from raw total energies -3081 meV/atom, density 7.82 Mg/m³, total DFT energy (no corrections) -7.7104 eV per atom. Number 3: formation energy from raw total energies -2068 meV/atom, density 7.71 Mg/m³, total DFT energy (no corrections) -6.1678 eV per atom. Number 4: formation energy from raw total energies -1666 meV/atom, density 7.29 Mg/m³, total DFT energy (no corrections) -6.7469 eV per atom. Number 5: formation energy from raw total energies -2657 meV/atom, density 7.63 Mg/m³, total DFT energy (no corrections) -7.8330 eV per atom. Number 6: formation energy from raw total energies -2134 meV/atom, density 6.85 Mg/m³, total DFT energy (no corrections) -7.0709 eV per atom. Number 7: formation energy from raw total energies -1422 meV/atom, density 8.28 Mg/m³, total DFT energy (no corrections) -5.7823 eV per atom. Number 8: formation energy from raw total energies -1424 meV/atom, density 8.82 Mg/m³, total DFT energy (no corrections) -5.7543 eV per atom. Number 9: formation energy from raw total energies -784 meV/atom, density 6.91 Mg/m³, total DFT energy (no corrections) -5.1731 eV per atom. Number 10: formation energy from raw total energies -1405 meV/atom, density 8.57 Mg/m³, total DFT energy (no corrections) -5.7411 eV per atom. Number 11: formation energy from raw total energies -1396 meV/atom, density 7.85 Mg/m³, total DFT energy (no corrections) -5.7671 eV per atom. Number 12: formation energy from raw total energies -1458 meV/atom, density 7.78 Mg/m³, total DFT energy (no corrections) -6.2501 eV per atom.